a | LiAl2Cl, relaxed, DFT GGA-PBE; N(E_F) = 3.96 states/eV/f.u.; mass density = 1.97 g cm⁻³; space group = F-43m
1.0
4.8625 0.0000 0.0000
2.4313 4.2111 0.0000
2.4313 1.4037 3.9702
Li Al Cl
1 2 1
Direct
0.7500 0.7500 0.7500
0.2500 0.2500 0.2500
0.0000 0.0000 0.0000
0.5000 0.5000 0.5000

b | LiAl2Cl, relaxed, DFT GGA-PBE; N(E_F) = 1.23 states/eV/f.u.; mass density = 2.07 g cm⁻³; space group = Imm2
1.0
5.6898 0.0033 0.0011
2.4400 5.1401 -0.0011
-3.2662 -3.8342 2.6467
Li Cl Al
1 1 2
Direct
0.2693 0.7693 0.5000
0.4471 0.4471 0.0000
0.7641 0.2641 0.5000
0.0195 0.0195 0.0000

Which structure wins on stability? b wins.

a | Co2AgCl, relaxed, DFT GGA-PBE; N(E_F) = 5.23 states/eV/f.u.; mass density = 7.29 g cm⁻³; space group = Immm
1.0
-4.7153 -0.5789 -2.0941
-0.0984 -1.8668 -4.8436
1.2297 -0.7636 4.9859
Co Ag Cl
2 1 1
Direct
0.4719 0.4719 0.0000
0.0281 0.0281 0.0000
0.7500 0.2500 0.5000
0.2500 0.7500 0.5000

b | Co2AgCl, relaxed, DFT GGA-PBE; N(E_F) = 3.65 states/eV/f.u.; mass density = 7.17 g cm⁻³; space group = I-4m2
1.0
-1.8913 -4.2483 1.0158
2.3064 -3.2740 -2.5727
1.6455 3.4332 2.8570
Ag Cl Co
1 1 2
Direct
0.5000 0.5000 0.0000
0.7500 0.2500 0.5000
0.0000 0.0000 0.0000
0.2500 0.7500 0.5000

Which structure wins on stability? a wins.